First-principles (PBE-GGA) data for a geometry-optimized LiHo2ScIn4 structure, as listed in the Alexandria database.

a b c (Å): 8.9750 8.9750 8.9750
angles (deg): 33.17 33.17 33.17
Last column: nearest neighbours and their distance in Å.
Fractional positions:
Li: 0.0000 0.0000 0.0000  8 In 3.14-3.17
Ho: 0.2529 0.2529 0.2529  8 In 3.10-3.26
Ho: 0.7471 0.7471 0.7471  8 In 3.10-3.26
Sc: 0.5000 0.5000 0.5000  8 In 3.14-3.18
In: 0.1248 0.1248 0.1248  3 Sc 3.14, 4 Ho 3.17-3.26, 1 Li 3.17
In: 0.3750 0.3750 0.3750  4 Ho 3.10-3.12, 3 Li 3.14, 1 Sc 3.18
In: 0.6250 0.6250 0.6250  4 Ho 3.10-3.12, 3 Li 3.14, 1 Sc 3.18
In: 0.8752 0.8752 0.8752  3 Sc 3.14, 4 Ho 3.17-3.26, 1 Li 3.17

The total energy comes out at -3.95 eV/atom. Its density is 7.25 Mg/m³. Its volume is 24.08 Å³/atom. The calculated formation energy is -3.21 eV/f.u. The density of states at the Fermi level comes out at 4.236 states/eV per cell.